# 1
Below is a relaxed La12SmSn6 crystal, with properties calculated at the GGA-PBE level.

Computed properties:
Calculated formation energy (eV per atom): -0.32
Uncorrected energy (eV per atom): -4.945
ρ (g/cm3): 6.25

abc: 15.0001 15.0001 10.3452
angles: 90.00 90.00 120.00
Closest atoms and distances in Å follow each position.
Space group R-3 (No. 148, hexagonal axes)
One atom of each set of equivalent atoms:
La: 0.0545 0.2083 0.2885 (multiplicity 18)  3 Sn 3.21-3.43
La: 0.0586 0.2484 0.9086 (multiplicity 18)  3 Sn 3.23-3.39, 2 La 3.34-3.61, 1 Sm 3.50
Sm: 0.0000 0.0000 0.0000 (multiplicity 3)  6 La 3.50
Sn: 0.0605 0.2507 0.5934 (multiplicity 18)  6 La 3.21-3.43

=====

# 2
Below is a relaxed LaZnAs3 crystal, with properties calculated at the GGA-PBE level.

Computed properties:
Calculated formation energy (eV per atom): -0.24
Uncorrected energy (eV per atom): -4.269
ρ (g/cm3): 6.07

abc: 4.8964 4.8964 4.8964
angles: 90.00 90.00 90.00
Closest atoms and distances in Å follow each position.
Space group Pm-3m (No. 221)
One atom of each set of equivalent atoms:
La: 0.0000 0.0000 0.0000 (multiplicity 1)  12 As 3.46
Zn: 0.5000 0.5000 0.5000 (multiplicity 1)  6 As 2.45
As: 0.0000 0.5000 0.5000 (multiplicity 3)  2 Zn 2.45

=====

# 3
Below is a relaxed Ba2IrBr crystal, with properties calculated at the GGA-PBE level.

Computed properties:
Uncorrected energy (eV per atom): -3.685
ρ (g/cm3): 7.74
ΔE_f (raw) (eV/atom): -0.091

abc: 7.7694 7.7694 7.7694
angles: 90.00 90.00 90.00
Closest atoms and distances in Å follow each position.
Space group F-43m (No. 216)
One atom of each set of equivalent atoms:
Ba: 0.0000 0.0000 0.0000 (multiplicity 4)  4 Ba 3.36, 4 Ir 3.36
Ba: 0.2500 0.2500 0.2500 (multiplicity 4)  4 Br 3.36, 4 Ba 3.36
Ir: 0.2500 0.2500 0.7500 (multiplicity 4)  4 Ba 3.36, 4 Br 3.36
Br: 0.0000 0.0000 0.5000 (multiplicity 4)  4 Ir 3.36, 4 Ba 3.36

=====

# 4
Below is a relaxed Sm12CoAu6 crystal, with properties calculated at the GGA-PBE level.

Computed properties:
Calculated formation energy (eV per atom): -0.42
Uncorrected energy (eV per atom): -4.805
ρ (g/cm3): 8.71

abc: 12.7593 12.7593 12.3513
angles: 90.00 90.00 120.00
Closest atoms and distances in Å follow each position.
Space group R-3 (No. 148, hexagonal axes)
One atom of each set of equivalent atoms:
Sm: 0.0303 0.2114 0.3961 (multiplicity 18)  4 Au 2.91-3.15
Sm: 0.0543 0.1969 0.8839 (multiplicity 18)  1 Co 2.67
Co: 0.0000 0.0000 0.0000 (multiplicity 3)  6 Sm 2.67
Au: 0.0493 0.2751 0.6442 (multiplicity 18)  7 Sm 2.91-3.23